Material: PrDyCuRu
Method: DFT, PBE-GGA
State: optimized geometry

Structure (POSCAR):
```
PrDyCuRu
1.0
4.2115 0.0000 0.0000
0.0000 1.9948 5.3681
0.0000 -1.9948 5.3681
Pr Dy Cu Ru
1 1 1 1
Cartesian
0.0000 0.0000 0.0000
2.1057 0.0000 7.7030
2.1057 0.0000 4.5300
0.0000 0.0000 2.9458
```

Output
For the energy relative to the lowest polymorph listed for this composition, the calculation gives 0.000 eV per atom. Its formation energy is -0.22 eV/atom. The total magnetic moment is 0.00 μB/f.u.